Entry 1:
Hf6CoSn: optimized geometry, PBE.

The total energy is -8.823 eV/atom. As for the formation energy: 30 meV per atom. Its magnetization is 0.00 μB/f.u.

The structure belongs to space group R-3m (No. 166, hexagonal axes); the cell edges are 9.1293, 9.1293 and 7.3998 Å and the angles 90.00°, 90.00° and 120.00°. Symmetry generates all atoms from Hf at (0.0593, 0.5297, 0.3132), Co at (0.0000, 0.0000, 0.5000) and Sn at (0.0000, 0.0000, 0.0000).

***

Entry 2:
MoIrBr: optimized geometry, PBE.

The offset from the most stable computed form comes out at 0.4084 eV/atom. The total energy is -6.377 eV/atom. Its magnetization is 0.00 μB/f.u. For the raw formation energy, the calculation gives 215 kJ/mol of formula units.

The structure belongs to space group F-43m (No. 216); the cell edges are 6.127, 6.127 and 6.127 Å and the angles 90.00°, 90.00° and 90.00°. Symmetry generates all atoms from Mo at (0.000, 0.000, 0.000), Ir at (0.250, 0.250, 0.750) and Br at (0.250, 0.250, 0.250).